This record from the Alexandria database describes KBa2Li2 after structural relaxation. The functional is GGA-PBEsol.

```
KBa2Li2
1.0
-2.066 2.066 13.397
2.066 -2.066 13.397
2.066 2.066 -13.397
K Ba Li
1 2 2
Direct
0.000 0.000 0.000 K
0.364 0.364 0.000 Ba
0.636 0.636 0.000 Ba
0.250 0.750 0.500 Li
0.750 0.250 0.500 Li
```

Computed properties:
Calculated volume = 228.8 Å³ per cell
Formation enthalpy at 0 K = 0.126 eV per atom
Energy relative to the lowest polymorph listed for this composition = 0.90 kcal/mol of atoms
Symmetry = I4/mmm, No. 139
Size of the total moment = 0.000 Bohr magnetons per cell